(P)
Compound: Sm3DyTl3
Source: Alexandria
Functional: PBE
Structure: optimized geometry

## Properties
DOS at the Fermi energy	34.6	states/eV per cell
M_tot	0.00	μB/cell

Geometry as CIF:
```
data_Sm3DyTl3
_space_group_name_H-M_alt 'P 21 3'
_space_group_IT_number 198
_space_group_name_Hall 'P 2ac 2ab 3'
_cell_length_a 9.473
_cell_length_b 9.473
_cell_length_c 9.473
_cell_angle_alpha 90.00
_cell_angle_beta 90.00
_cell_angle_gamma 90.00
loop_
_atom_site_label
_atom_site_type_symbol
_atom_site_fract_x
_atom_site_fract_y
_atom_site_fract_z
_atom_site_occupancy
Sm1 Sm 0.071 0.429 0.571 1
Sm2 Sm 0.175 0.825 0.325 1
Sm3 Sm 0.176 0.176 0.176 1
Dy1 Dy 0.074 0.574 0.926 1
Tl1 Tl 0.001 0.253 0.870 1
```

---

(Q)
Compound: Sm3DyTl3
Source: Alexandria
Functional: PBE
Structure: optimized geometry

## Properties
DOS at the Fermi energy	11.2	states/eV per cell
M_tot	0.00	μB/cell

Geometry as CIF:
```
data_Sm3DyTl3
_space_group_name_H-M_alt 'P 63/m'
_space_group_IT_number 176
_space_group_name_Hall '-P 6c'
_cell_length_a 9.5609
_cell_length_b 9.5609
_cell_length_c 5.2936
_cell_angle_alpha 90.00
_cell_angle_beta 90.00
_cell_angle_gamma 120.00
loop_
_atom_site_label
_atom_site_type_symbol
_atom_site_fract_x
_atom_site_fract_y
_atom_site_fract_z
_atom_site_occupancy
Sm1 Sm 0.0015 0.2386 0.2500 1
Dy1 Dy 0.3333 0.6667 0.2500 1
Tl1 Tl 0.0712 0.4518 0.7500 1
```

---

Least stable = (Q)

---

(P)
Compound: Sm3Dy2Tl
Source: Alexandria
Functional: PBE
Structure: optimized geometry

## Properties
DOS at the Fermi energy	24.4	states/eV per cell
M_tot	0.00	μB/cell

Geometry as CIF:
```
data_Sm3Dy2Tl
_space_group_name_H-M_alt 'C 1 2/c 1'
_space_group_IT_number 15
_cell_length_a 17.311
_cell_length_b 6.825
_cell_length_c 6.487
_cell_angle_alpha 90.00
_cell_angle_beta 99.25
_cell_angle_gamma 90.00
loop_
_space_group_symop_operation_xyz
'x,y,z'
'-x,-y,-z'
'-x,y,-z+1/2'
'x,-y,z+1/2'
'x+1/2,y+1/2,z'
'-x+1/2,-y+1/2,-z'
'-x+1/2,y+1/2,-z+1/2'
'x+1/2,-y+1/2,z+1/2'
loop_
_atom_site_label
_atom_site_type_symbol
_atom_site_fract_x
_atom_site_fract_y
_atom_site_fract_z
_atom_site_occupancy
Sm1 Sm 0.000 0.228 0.250 1
Sm2 Sm 0.168 0.116 0.041 1
Dy1 Dy 0.162 0.393 0.573 1
Tl1 Tl 0.000 0.281 0.750 1
```

---

(Q)
Compound: Sm3Dy2Tl
Source: Alexandria
Functional: PBE
Structure: optimized geometry

## Properties
DOS at the Fermi energy	14.4	states/eV per cell
M_tot	0.00	μB/cell

Geometry as CIF:
```
data_Sm3Dy2Tl
_space_group_name_H-M_alt 'C m m m'
_space_group_IT_number 65
_space_group_name_Hall '-C 2 2'
_cell_length_a 4.939
_cell_length_b 15.271
_cell_length_c 4.909
_cell_angle_alpha 90.00
_cell_angle_beta 90.00
_cell_angle_gamma 90.00
loop_
_atom_site_label
_atom_site_type_symbol
_atom_site_fract_x
_atom_site_fract_y
_atom_site_fract_z
_atom_site_occupancy
Sm1 Sm 0.000 0.000 0.000 1
Sm2 Sm 0.000 0.331 0.000 1
Dy1 Dy 0.000 0.163 0.500 1
Tl1 Tl 0.000 0.500 0.500 1
```

---

Least stable = (P)

---

(P)
Compound: Sm2DyTl3
Source: Alexandria
Functional: PBE
Structure: optimized geometry

## Properties
DOS at the Fermi energy	4.7	states/eV per cell
M_tot	0.00	μB/cell

Geometry as CIF:
```
data_Sm2DyTl3
_space_group_name_H-M_alt 'P 4/m m m'
_space_group_IT_number 123
_space_group_name_Hall '-P 4 2'
_cell_length_a 3.809
_cell_length_b 3.809
_cell_length_c 11.722
_cell_angle_alpha 90.00
_cell_angle_beta 90.00
_cell_angle_gamma 90.00
loop_
_atom_site_label
_atom_site_type_symbol
_atom_site_fract_x
_atom_site_fract_y
_atom_site_fract_z
_atom_site_occupancy
Sm1 Sm 0.000 0.000 0.170 1
Dy1 Dy 0.000 0.000 0.500 1
Tl1 Tl 0.500 0.500 0.000 1
Tl2 Tl 0.500 0.500 0.340 1
```

---

(Q)
Compound: Sm2DyTl3
Source: Alexandria
Functional: PBE
Structure: optimized geometry

## Properties
DOS at the Fermi energy	18.4	states/eV per cell
M_tot	0.00	μB/cell

Geometry as CIF:
```
data_Sm2DyTl3
_space_group_name_H-M_alt 'C m c m'
_space_group_IT_number 63
_space_group_name_Hall '-C 2c 2'
_cell_length_a 3.722
_cell_length_b 29.026
_cell_length_c 6.744
_cell_angle_alpha 90.00
_cell_angle_beta 90.00
_cell_angle_gamma 90.00
loop_
_atom_site_label
_atom_site_type_symbol
_atom_site_fract_x
_atom_site_fract_y
_atom_site_fract_z
_atom_site_occupancy
Sm1 Sm 0.000 0.005 0.250 1
Sm2 Sm 0.000 0.153 0.750 1
Dy1 Dy 0.000 0.332 0.750 1
Tl1 Tl 0.000 0.255 0.250 1
Tl2 Tl 0.000 0.423 0.009 1
```

---

Least stable = (Q)

---

(P)
Compound: Sm2Dy3Tl
Source: Alexandria
Functional: PBE
Structure: optimized geometry

## Properties
DOS at the Fermi energy	14.6	states/eV per cell
M_tot	0.00	μB/cell

Geometry as CIF:
```
data_Sm2Dy3Tl
_space_group_name_H-M_alt 'C m m m'
_space_group_IT_number 65
_space_group_name_Hall '-C 2 2'
_cell_length_a 4.880
_cell_length_b 15.273
_cell_length_c 4.913
_cell_angle_alpha 90.00
_cell_angle_beta 90.00
_cell_angle_gamma 90.00
loop_
_atom_site_label
_atom_site_type_symbol
_atom_site_fract_x
_atom_site_fract_y
_atom_site_fract_z
_atom_site_occupancy
Sm1 Sm 0.000 0.162 0.000 1
Dy1 Dy 0.000 0.000 0.500 1
Dy2 Dy 0.000 0.333 0.500 1
Tl1 Tl 0.000 0.500 0.000 1
```

---

(Q)
Compound: Sm2Dy3Tl
Source: Alexandria
Functional: PBE
Structure: optimized geometry

## Properties
DOS at the Fermi energy	17.2	states/eV per cell
M_tot	0.00	μB/cell

Geometry as CIF:
```
data_Sm2Dy3Tl
_space_group_name_H-M_alt 'I m m 2'
_space_group_IT_number 44
_cell_length_a 3.468
_cell_length_b 17.532
_cell_length_c 6.431
_cell_angle_alpha 90.00
_cell_angle_beta 90.00
_cell_angle_gamma 90.00
loop_
_space_group_symop_operation_xyz
'x,y,z'
'-x,-y,z'
'-x,y,z'
'x,-y,z'
'x+1/2,y+1/2,z+1/2'
'-x+1/2,-y+1/2,z+1/2'
'-x+1/2,y+1/2,z+1/2'
'x+1/2,-y+1/2,z+1/2'
loop_
_atom_site_label
_atom_site_type_symbol
_atom_site_fract_x
_atom_site_fract_y
_atom_site_fract_z
_atom_site_occupancy
Sm1 Sm 0.000 0.190 0.000 1
Dy1 Dy 0.000 0.136 0.495 1
Dy2 Dy 0.000 0.500 0.702 1
Tl1 Tl 0.000 0.000 0.782 1
```

---

Least stable = (Q)

---

(P)
Compound: SmDyTl2
Source: Alexandria
Functional: PBE
Structure: optimized geometry

## Properties
DOS at the Fermi energy	3.0	states/eV per cell
M_tot	0.00	μB/cell

Geometry as CIF:
```
data_SmDyTl2
_space_group_name_H-M_alt 'P 4/m m m'
_space_group_IT_number 123
_space_group_name_Hall '-P 4 2'
_cell_length_a 3.827
_cell_length_b 3.827
_cell_length_c 7.645
_cell_angle_alpha 90.00
_cell_angle_beta 90.00
_cell_angle_gamma 90.00
loop_
_atom_site_label
_atom_site_type_symbol
_atom_site_fract_x
_atom_site_fract_y
_atom_site_fract_z
_atom_site_occupancy
Sm1 Sm 0.000 0.000 0.000 1
Dy1 Dy 0.000 0.000 0.500 1
Tl1 Tl 0.500 0.500 0.257 1
```

---

(Q)
Compound: SmDyTl2
Source: Alexandria
Functional: PBE
Structure: optimized geometry

## Properties
DOS at the Fermi energy	12.2	states/eV per cell
M_tot	0.00	μB/cell

Geometry as CIF:
```
data_SmDyTl2
_space_group_name_H-M_alt 'F m -3 m'
_space_group_IT_number 225
_space_group_name_Hall '-F 4 2 3'
_cell_length_a 7.663
_cell_length_b 7.663
_cell_length_c 7.663
_cell_angle_alpha 90.00
_cell_angle_beta 90.00
_cell_angle_gamma 90.00
loop_
_atom_site_label
_atom_site_type_symbol
_atom_site_fract_x
_atom_site_fract_y
_atom_site_fract_z
_atom_site_occupancy
Sm1 Sm 0.000 0.000 0.000 1
Dy1 Dy 0.000 0.000 0.500 1
Tl1 Tl 0.250 0.250 0.250 1
```

---

(R)
Compound: SmDyTl2
Source: Alexandria
Functional: PBE
Structure: optimized geometry

## Properties
DOS at the Fermi energy	6.4	states/eV per cell
M_tot	0.00	μB/cell

Geometry as CIF:
```
data_SmDyTl2
_space_group_name_H-M_alt 'R -3 m'
_space_group_IT_number 166
_space_group_name_Hall '-R 3 2"'
_cell_length_a 3.7946
_cell_length_b 3.7946
_cell_length_c 29.0175
_cell_angle_alpha 90.00
_cell_angle_beta 90.00
_cell_angle_gamma 120.00
loop_
_atom_site_label
_atom_site_type_symbol
_atom_site_fract_x
_atom_site_fract_y
_atom_site_fract_z
_atom_site_occupancy
Sm1 Sm 0.0000 0.0000 0.0000 1
Dy1 Dy 0.0000 0.0000 0.5000 1
Tl1 Tl 0.0000 0.0000 0.2486 1
```

---

Least stable = (R)

---

(P)
Compound: Sm2Dy6Tl
Source: Alexandria
Functional: PBE
Structure: optimized geometry

## Properties
DOS at the Fermi energy	21.4	states/eV per cell
M_tot	0.00	μB/cell

Geometry as CIF:
```
data_Sm2Dy6Tl
_space_group_name_H-M_alt 'I m m m'
_space_group_IT_number 71
_space_group_name_Hall '-I 2 2'
_cell_length_a 3.506
_cell_length_b 10.189
_cell_length_c 15.929
_cell_angle_alpha 90.00
_cell_angle_beta 90.00
_cell_angle_gamma 90.00
loop_
_atom_site_label
_atom_site_type_symbol
_atom_site_fract_x
_atom_site_fract_y
_atom_site_fract_z
_atom_site_occupancy
Sm1 Sm 0.000 0.000 0.154 1
Dy1 Dy 0.000 0.305 0.500 1
Dy2 Dy 0.000 0.337 0.177 1
Tl1 Tl 0.000 0.500 0.000 1
```

---

(Q)
Compound: Sm2Dy6Tl
Source: Alexandria
Functional: PBE
Structure: optimized geometry

## Properties
DOS at the Fermi energy	25.2	states/eV per cell
M_tot	0.00	μB/cell

Geometry as CIF:
```
data_Sm2Dy6Tl
_space_group_name_H-M_alt 'C 1 2/m 1'
_space_group_IT_number 12
_cell_length_a 10.027
_cell_length_b 7.137
_cell_length_c 8.288
_cell_angle_alpha 90.00
_cell_angle_beta 101.98
_cell_angle_gamma 90.00
loop_
_space_group_symop_operation_xyz
'x,y,z'
'-x,-y,-z'
'-x,y,-z'
'x,-y,z'
'x+1/2,y+1/2,z'
'-x+1/2,-y+1/2,-z'
'-x+1/2,y+1/2,-z'
'x+1/2,-y+1/2,z'
loop_
_atom_site_label
_atom_site_type_symbol
_atom_site_fract_x
_atom_site_fract_y
_atom_site_fract_z
_atom_site_occupancy
Sm1 Sm 0.236 0.000 0.466 1
Dy1 Dy 0.036 0.258 0.709 1
Dy2 Dy 0.185 0.500 0.069 1
Tl1 Tl 0.000 0.000 0.000 1
```

---

Least stable = (Q)

---

(P)
Compound: Sm8Dy2Tl
Source: Alexandria
Functional: PBE
Structure: optimized geometry

## Properties
DOS at the Fermi energy	29.6	states/eV per cell
M_tot	0.00	μB/cell

Geometry as CIF:
```
data_Sm8Dy2Tl
_space_group_name_H-M_alt 'C 1 2/m 1'
_space_group_IT_number 12
_cell_length_a 18.236
_cell_length_b 5.024
_cell_length_c 8.031
_cell_angle_alpha 90.00
_cell_angle_beta 105.62
_cell_angle_gamma 90.00
loop_
_space_group_symop_operation_xyz
'x,y,z'
'-x,-y,-z'
'-x,y,-z'
'x,-y,z'
'x+1/2,y+1/2,z'
'-x+1/2,-y+1/2,-z'
'-x+1/2,y+1/2,-z'
'x+1/2,-y+1/2,z'
loop_
_atom_site_label
_atom_site_type_symbol
_atom_site_fract_x
_atom_site_fract_y
_atom_site_fract_z
_atom_site_occupancy
Sm1 Sm 0.045 0.000 0.225 1
Sm2 Sm 0.090 0.500 0.944 1
Sm3 Sm 0.136 0.000 0.680 1
Sm4 Sm 0.180 0.500 0.409 1
Dy1 Dy 0.224 0.000 0.134 1
Tl1 Tl 0.000 0.500 0.500 1
```

---

(Q)
Compound: Sm8Dy2Tl
Source: Alexandria
Functional: PBE
Structure: optimized geometry

## Properties
DOS at the Fermi energy	35.5	states/eV per cell
M_tot	0.00	μB/cell

Geometry as CIF:
```
data_Sm8Dy2Tl
_space_group_name_H-M_alt 'I m m m'
_space_group_IT_number 71
_space_group_name_Hall '-I 2 2'
_cell_length_a 5.534
_cell_length_b 7.657
_cell_length_c 17.426
_cell_angle_alpha 90.00
_cell_angle_beta 90.00
_cell_angle_gamma 90.00
loop_
_atom_site_label
_atom_site_type_symbol
_atom_site_fract_x
_atom_site_fract_y
_atom_site_fract_z
_atom_site_occupancy
Sm1 Sm 0.000 0.000 0.180 1
Sm2 Sm 0.000 0.228 0.363 1
Sm3 Sm 0.000 0.261 0.000 1
Dy1 Dy 0.000 0.500 0.192 1
Tl1 Tl 0.000 0.500 0.500 1
```

---

Least stable = (Q)

---

(P)
Compound: Sm5Dy2Tl
Source: Alexandria
Functional: PBE
Structure: optimized geometry

## Properties
DOS at the Fermi energy	21.7	states/eV per cell
M_tot	0.00	μB/cell

Geometry as CIF:
```
data_Sm5Dy2Tl
_space_group_name_H-M_alt 'I m m m'
_space_group_IT_number 71
_space_group_name_Hall '-I 2 2'
_cell_length_a 3.476
_cell_length_b 11.250
_cell_length_c 13.022
_cell_angle_alpha 90.00
_cell_angle_beta 90.00
_cell_angle_gamma 90.00
loop_
_atom_site_label
_atom_site_type_symbol
_atom_site_fract_x
_atom_site_fract_y
_atom_site_fract_z
_atom_site_occupancy
Sm1 Sm 0.000 0.000 0.000 1
Sm2 Sm 0.000 0.266 0.369 1
Dy1 Dy 0.000 0.000 0.268 1
Tl1 Tl 0.000 0.500 0.000 1
```

---

(Q)
Compound: Sm5Dy2Tl
Source: Alexandria
Functional: PBE
Structure: optimized geometry

## Properties
DOS at the Fermi energy	22.1	states/eV per cell
M_tot	0.00	μB/cell

Geometry as CIF:
```
data_Sm5Dy2Tl
_space_group_name_H-M_alt 'P b a m'
_space_group_IT_number 55
_cell_length_a 7.115
_cell_length_b 14.252
_cell_length_c 5.000
_cell_angle_alpha 90.00
_cell_angle_beta 90.00
_cell_angle_gamma 90.00
loop_
_space_group_symop_operation_xyz
'x,y,z'
'-x,-y,-z'
'-x,-y,z'
'x,y,-z'
'x+1/2,-y+1/2,-z'
'-x+1/2,y+1/2,z'
'-x+1/2,y+1/2,-z'
'x+1/2,-y+1/2,z'
loop_
_atom_site_label
_atom_site_type_symbol
_atom_site_fract_x
_atom_site_fract_y
_atom_site_fract_z
_atom_site_occupancy
Sm1 Sm 0.000 0.000 0.000 1
Sm2 Sm 0.004 0.259 0.000 1
Sm3 Sm 0.247 0.126 0.500 1
Dy1 Dy 0.245 0.876 0.500 1
Tl1 Tl 0.000 0.500 0.000 1
```

---

Least stable = (P)